Here is OsPbAu2 after structural relaxation from the Alexandria database. Energies are from GGA-PBE.

Output
volume = 79.5 Å³ per cell
DFT formation energy = 0.716 eV/atom

abc: 4.728 3.219 5.435
angles: 73.84 90.00 90.00
Last column: magnetic moment on the atom in μB.
Positions (direct):
Au1 0.000 0.091 0.026  0.01
Au2 0.000 0.409 0.474  0.01
Os1 0.500 0.250 0.250  0.48
Pb1 0.500 0.750 0.750  -0.01



Here is MgInGe2 after structural relaxation from the Alexandria database. Energies are from GGA-PBE.

Output
volume = 88.6 Å³ per cell
DFT formation energy = 0.108 eV/atom

abc: 3.477 3.477 8.696
angles: 78.47 78.47 60.00
Positions (direct):
Ge1 0.249 0.249 0.254
Ge2 0.751 0.751 0.746
Mg1 0.500 0.500 0.500
In1 0.000 0.000 0.000



Here is LiZrPb2 after structural relaxation from the Alexandria database. Energies are from GGA-PBE.

Output
volume = 95.5 Å³ per cell
DFT formation energy = -0.164 eV/atom

abc: 5.385 3.293 5.383
angles: 89.98 90.00 90.00
Positions (direct):
Pb1 0.000 0.125 0.875
Pb2 0.500 0.124 0.375
Zr1 0.000 0.624 0.375
Li1 0.500 0.627 0.875



Here is Nd3Bi2As after structural relaxation from the Alexandria database. Energies are from GGA-PBE.

Output
volume = 771.2 Å³ per cell
DFT formation energy = -1.114 eV/atom

abc: 7.800 7.800 14.170
angles: 100.61 100.61 109.33
Positions (direct):
Nd1 0.164 0.679 0.826
Nd2 0.663 0.148 0.826
Nd3 0.086 0.071 0.674
Nd4 0.587 0.602 0.674
Nd5 0.019 0.519 0.500
Nd6 0.481 0.981 0.500
Nd7 0.398 0.413 0.326
Nd8 0.929 0.914 0.326
Nd9 0.852 0.337 0.174
Nd10 0.321 0.836 0.174
Nd11 0.231 0.231 0.000
Nd12 0.769 0.769 0.000
Bi1 0.998 0.498 0.997
Bi2 0.419 0.419 0.838
Bi3 0.831 0.331 0.662
Bi4 0.252 0.252 0.503
Bi5 0.748 0.748 0.497
Bi6 0.669 0.169 0.338
Bi7 0.581 0.581 0.162
Bi8 0.502 0.002 0.003
As1 0.917 0.917 0.833
As2 0.333 0.833 0.667
As3 0.167 0.667 0.333
As4 0.083 0.083 0.167



Here is Rb2Zn2Rh after structural relaxation from the Alexandria database. Energies are from GGA-PBE.

Output
volume = 296.0 Å³ per cell
DFT formation energy = 0.204 eV/atom

abc: 7.055 7.055 5.948
angles: 90.00 90.00 90.00
Positions (direct):
Zn1 0.296 0.796 0.000
Zn2 0.796 0.704 0.000
Zn3 0.704 0.204 0.000
Zn4 0.204 0.296 0.000
Rh1 0.000 0.000 0.000
Rh2 0.500 0.500 0.000
Rb1 0.171 0.671 0.500
Rb2 0.671 0.829 0.500
Rb3 0.829 0.329 0.500
Rb4 0.329 0.171 0.500



Here is SmPu2Hg3 after structural relaxation from the Alexandria database. Energies are from GGA-PBE.

Output
volume = 161.1 Å³ per cell
DFT formation energy = -0.223 eV/atom

abc: 5.341 5.341 6.523
angles: 90.00 90.00 120.00
Last column: magnetic moment on the atom in μB.
Positions (direct):
Sm1 0.000 0.000 0.000  0.07
Pu1 0.667 0.333 0.354  5.55
Pu2 0.333 0.667 0.646  5.55
Hg1 0.000 0.000 0.500  0.04
Hg2 0.667 0.333 0.849  0.02
Hg3 0.333 0.667 0.151  0.02



Here is Pr2TiSi3Pt4 after structural relaxation from the Alexandria database. Energies are from GGA-PBE.

Output
volume = 186.4 Å³ per cell
energy relative to the elements, uncorrected = -1.074 eV/atom

abc: 4.311 4.311 10.027
angles: 90.00 90.00 90.00
Positions (direct):
Pr1 0.500 0.000 0.248
Pr2 0.000 0.500 0.752
Ti1 0.500 0.500 0.500
Si1 0.000 0.000 0.500
Si2 0.500 0.000 0.874
Si3 0.000 0.500 0.126
Pt1 0.500 0.500 0.000
Pt2 0.000 0.000 0.000
Pt3 0.500 0.000 0.634
Pt4 0.000 0.500 0.366



Here is TaMnTc after structural relaxation from the Alexandria database. Energies are from GGA-PBE.

Output
volume = 49.2 Å³ per cell
DFT formation energy = 0.398 eV/atom

abc: 4.113 4.113 4.113
angles: 60.00 60.00 60.00
Positions (direct):
Mn1 0.750 0.750 0.750
Ta1 0.000 0.000 0.000
Tc1 0.500 0.500 0.500



Please write out number 6 again, unchanged.
Here is SmPu2Hg3 after structural relaxation from the Alexandria database. Energies are from GGA-PBE.

Output
volume = 161.1 Å³ per cell
DFT formation energy = -0.223 eV/atom

abc: 5.341 5.341 6.523
angles: 90.00 90.00 120.00
Last column: magnetic moment on the atom in μB.
Positions (direct):
Sm1 0.000 0.000 0.000  0.07
Pu1 0.667 0.333 0.354  5.55
Pu2 0.333 0.667 0.646  5.55
Hg1 0.000 0.000 0.500  0.04
Hg2 0.667 0.333 0.849  0.02
Hg3 0.333 0.667 0.151  0.02